# PBEsol PmY3, relaxed
# formation energy from the elements	0.011	eV/atom
# volume	31.32	Å³ per atom
data_PmY3
_chemical_formula_sum 'Pm2 Y6'
_cell_length_a 5.6293
_cell_length_b 7.1686
_cell_length_c 7.1686
_cell_angle_alpha 120.00
_cell_angle_beta 90.00
_cell_angle_gamma 90.00
_symmetry_space_group_name_H-M 'P 1'
_symmetry_Int_Tables_number 1
loop_
_symmetry_equiv_pos_as_xyz
'x,y,z'
loop_
_atom_site_label
_atom_site_fract_x
_atom_site_fract_y
_atom_site_fract_z
_atom_site_occupancy
Y1 0.2500 0.6669 0.8335 1
Y2 0.2500 0.1665 0.3331 1
Y3 0.2500 0.1665 0.8335 1
Y4 0.7500 0.3331 0.1665 1
Y5 0.7500 0.8335 0.6669 1
Y6 0.7500 0.8335 0.1665 1
Pm1 0.7500 0.3333 0.6667 1
Pm2 0.2500 0.6667 0.3333 1

---

# PBEsol NaMg2Zn, relaxed
# formation energy from the elements	0.271	eV/atom
# volume	24.15	Å³ per atom
data_NaMg2Zn
_chemical_formula_sum 'Na2 Mg4 Zn2'
_cell_length_a 4.3090
_cell_length_b 4.3090
_cell_length_c 10.8418
_cell_angle_alpha 101.46
_cell_angle_beta 101.46
_cell_angle_gamma 90.00
_symmetry_space_group_name_H-M 'P 1'
_symmetry_Int_Tables_number 1
loop_
_symmetry_equiv_pos_as_xyz
'x,y,z'
loop_
_atom_site_label
_atom_site_fract_x
_atom_site_fract_y
_atom_site_fract_z
_atom_site_occupancy
Na1 0.7500 0.2500 0.5000 1
Na2 0.5000 0.5000 0.0000 1
Zn1 0.2500 0.7500 0.5000 1
Zn2 0.0000 0.0000 0.0000 1
Mg1 0.3578 0.8750 0.2500 1
Mg2 0.8922 0.3750 0.2500 1
Mg3 0.1250 0.1078 0.7500 1
Mg4 0.6250 0.6422 0.7500 1

---

# PBEsol Ni3Sb, relaxed
# formation energy (no corrections)	-0.18	eV/atom
# volume	12.42	Å³ per atom
data_Ni3Sb
_chemical_formula_sum 'Ni3 Sb1'
_cell_length_a 3.6758
_cell_length_b 3.6758
_cell_length_c 3.6758
_cell_angle_alpha 90.00
_cell_angle_beta 90.00
_cell_angle_gamma 90.00
_symmetry_space_group_name_H-M 'P 1'
_symmetry_Int_Tables_number 1
loop_
_symmetry_equiv_pos_as_xyz
'x,y,z'
loop_
_atom_site_label
_atom_site_fract_x
_atom_site_fract_y
_atom_site_fract_z
_atom_site_occupancy
Sb1 0.0000 0.0000 0.0000 1
Ni1 0.0000 0.5000 0.5000 1
Ni2 0.5000 0.0000 0.5000 1
Ni3 0.5000 0.5000 0.0000 1

---

# PBEsol KMg2Rh2, relaxed
# formation energy from the elements	0.221	eV/atom
# volume	21.36	Å³ per atom
data_KMg2Rh2
_chemical_formula_sum 'K1 Mg2 Rh2'
_cell_length_a 4.6388
_cell_length_b 4.6388
_cell_length_c 5.9496
_cell_angle_alpha 112.94
_cell_angle_beta 112.94
_cell_angle_gamma 90.00
_symmetry_space_group_name_H-M 'P 1'
_symmetry_Int_Tables_number 1
loop_
_symmetry_equiv_pos_as_xyz
'x,y,z'
loop_
_atom_site_label
_atom_site_fract_x
_atom_site_fract_y
_atom_site_fract_z
_atom_site_occupancy
K1 0.0000 0.0000 0.0000 1
Rh1 0.3771 0.3771 0.7542 1
Rh2 0.6229 0.6229 0.2458 1
Mg1 0.2500 0.7500 0.5000 1
Mg2 0.7500 0.2500 0.5000 1

---

# PBEsol Ta2FeOsCl, relaxed
# formation energy (no corrections)	0.80	eV/atom
# volume	15.44	Å³ per atom
data_Ta2FeOsCl
_chemical_formula_sum 'Ta2 Fe1 Os1 Cl1'
_cell_length_a 3.8962
_cell_length_b 4.4512
_cell_length_c 4.4512
_cell_angle_alpha 90.00
_cell_angle_beta 90.00
_cell_angle_gamma 90.00
_symmetry_space_group_name_H-M 'P 1'
_symmetry_Int_Tables_number 1
loop_
_symmetry_equiv_pos_as_xyz
'x,y,z'
loop_
_atom_site_label
_atom_site_fract_x
_atom_site_fract_y
_atom_site_fract_z
_atom_site_occupancy
Cl1 0.0000 0.0000 0.0000 1
Os1 0.5000 0.5000 0.5000 1
Fe1 0.5000 0.0000 0.0000 1
Ta1 0.0000 0.0000 0.5000 1
Ta2 0.0000 0.5000 0.0000 1

---

# PBEsol LaTiHg3, relaxed
# formation energy from the elements	0.047	eV/atom
# volume	26.78	Å³ per atom
data_LaTiHg3
_chemical_formula_sum 'La1 Ti1 Hg3'
_cell_length_a 5.1158
_cell_length_b 5.1158
_cell_length_c 5.1158
_cell_angle_alpha 90.00
_cell_angle_beta 90.00
_cell_angle_gamma 90.00
_symmetry_space_group_name_H-M 'P 1'
_symmetry_Int_Tables_number 1
loop_
_symmetry_equiv_pos_as_xyz
'x,y,z'
loop_
_atom_site_label
_atom_site_fract_x
_atom_site_fract_y
_atom_site_fract_z
_atom_site_occupancy
Ti1 0.0000 0.0000 0.0000 1
Hg1 0.0000 0.5000 0.0000 1
Hg2 0.0000 0.0000 0.5000 1
Hg3 0.5000 0.0000 0.0000 1
La1 0.5000 0.5000 0.5000 1

---

# PBEsol TcAg2Ru, relaxed
# formation energy from the elements	0.175	eV/atom
# volume	15.06	Å³ per atom
data_TcAg2Ru
_chemical_formula_sum 'Tc1 Ag2 Ru1'
_cell_length_a 2.7417
_cell_length_b 2.7417
_cell_length_c 9.3891
_cell_angle_alpha 81.60
_cell_angle_beta 81.60
_cell_angle_gamma 60.00
_symmetry_space_group_name_H-M 'P 1'
_symmetry_Int_Tables_number 1
loop_
_symmetry_equiv_pos_as_xyz
'x,y,z'
loop_
_atom_site_label
_atom_site_fract_x
_atom_site_fract_y
_atom_site_fract_z
_atom_site_occupancy
Ag1 0.9983 0.9983 0.0052 1
Ag2 0.7521 0.7521 0.7436 1
Ru1 0.5058 0.5058 0.4825 1
Tc1 0.2438 0.2438 0.2687 1

---

# PBEsol ZrWCl2, relaxed
# formation energy (no corrections)	0.54	eV/atom
# volume	16.18	Å³ per atom
data_ZrWCl2
_chemical_formula_sum 'Zr1 W1 Cl2'
_cell_length_a 2.9199
_cell_length_b 3.7762
_cell_length_c 5.8683
_cell_angle_alpha 90.00
_cell_angle_beta 90.00
_cell_angle_gamma 90.00
_symmetry_space_group_name_H-M 'P 1'
_symmetry_Int_Tables_number 1
loop_
_symmetry_equiv_pos_as_xyz
'x,y,z'
loop_
_atom_site_label
_atom_site_fract_x
_atom_site_fract_y
_atom_site_fract_z
_atom_site_occupancy
Zr1 0.5000 0.5000 0.5000 1
W1 0.5000 0.5000 0.0000 1
Cl1 0.0000 0.0000 0.7482 1
Cl2 0.0000 0.0000 0.2518 1